Compound: Pr2CuO4
Source: Alexandria
Functional: PBEsol
Structure: relaxed

```
Pr2CuO4
1.0
2.603 -6.420 0.000
2.603 6.420 0.000
0.000 0.000 5.448
Pr Cu O
4 2 8
direct
0.138 0.862 0.986
0.362 0.638 0.486
0.638 0.362 0.514
0.862 0.138 0.014
0.000 0.000 0.500
0.500 0.500 0.000
0.184 0.816 0.558
0.238 0.262 0.750
0.262 0.238 0.250
0.316 0.684 0.058
0.684 0.316 0.942
0.738 0.762 0.750
0.762 0.738 0.250
0.816 0.184 0.442
```

Density of states at the Fermi level: 0.17 states/eV per atom
Energy above the lowest structure with this stoichiometry: 0.0000 eV/atom
Uncorrected formation energy: -244 kJ per mole of atoms


Compound: K3Br2
Source: Alexandria
Functional: PBEsol
Structure: relaxed

```
K3Br2
1.0
4.590 0.000 0.000
-2.295 3.975 0.000
0.000 0.000 35.223
K Br
9 6
direct
0.000 0.000 0.000
0.000 0.000 0.223
0.000 0.000 0.777
0.333 0.667 0.443
0.333 0.667 0.667
0.333 0.667 0.890
0.667 0.333 0.110
0.667 0.333 0.333
0.667 0.333 0.557
0.000 0.000 0.388
0.000 0.000 0.612
0.333 0.667 0.054
0.333 0.667 0.279
0.667 0.333 0.721
0.667 0.333 0.946
```

Density of states at the Fermi level: 0.18 states/eV per atom
Uncorrected formation energy: -130 kJ per mole of atoms


Compound: Ca2FeW
Source: Alexandria
Functional: PBEsol
Structure: relaxed

```
Ca2FeW
1.0
5.658 0.000 0.000
0.000 9.771 0.000
-0.015 0.000 2.787
Ca Fe W
4 2 2
direct
0.250 0.250 0.000
0.250 0.750 0.000
0.750 0.250 0.000
0.750 0.750 0.000
0.000 0.000 0.500
0.500 0.500 0.500
0.000 0.500 0.500
0.500 0.000 0.500
```

DFT formation energy: 1.02 eV/atom
Density of states at the Fermi level: 1.04 states/eV per atom


Compound: BrCl3
Source: Alexandria
Functional: PBEsol
Structure: relaxed

```
BrCl3
1.0
4.085 0.000 0.000
0.000 8.940 0.000
0.000 0.000 6.837
Br Cl
2 6
direct
0.000 0.000 0.000
0.500 0.500 0.500
0.000 0.253 0.902
0.000 0.500 0.989
0.000 0.747 0.902
0.500 0.000 0.489
0.500 0.247 0.402
0.500 0.753 0.402
```

Density of states at the Fermi level: 0.40 states/eV per atom
Uncorrected formation energy: 7 kJ per mole of atoms


Compound: HfZr3
Source: Alexandria
Functional: PBEsol
Structure: relaxed

```
HfZr3
1.0
6.353 0.000 0.000
-3.176 5.502 0.000
0.000 0.000 5.077
Hf Zr
2 6
direct
0.333 0.667 0.250
0.667 0.333 0.750
0.167 0.334 0.750
0.167 0.833 0.750
0.334 0.167 0.250
0.666 0.833 0.750
0.833 0.167 0.250
0.833 0.666 0.250
```

DFT formation energy: 0.01 eV/atom
Density of states at the Fermi level: 0.78 states/eV per atom


Compound: BPd3Pb
Source: Alexandria
Functional: PBEsol
Structure: relaxed

```
BPd3Pb
1.0
4.245 0.000 0.000
0.000 4.245 0.000
0.000 0.000 4.245
B Pd Pb
1 3 1
direct
0.000 0.000 0.000
0.000 0.000 0.500
0.000 0.500 0.000
0.500 0.000 0.000
0.500 0.500 0.500
```

DFT formation energy: -0.16 eV/atom
Density of states at the Fermi level: 0.66 states/eV per atom


Compound: AgOsRh
Source: Alexandria
Functional: PBEsol
Structure: relaxed

```
AgOsRh
1.0
2.706 0.000 0.000
0.000 3.834 0.000
0.000 0.000 8.439
Ag Os Rh
2 2 2
direct
0.000 0.000 0.000
0.500 0.500 0.500
0.000 0.000 0.679
0.500 0.500 0.179
0.000 0.000 0.320
0.500 0.500 0.820
```

DFT formation energy: 0.48 eV/atom
Density of states at the Fermi level: 1.19 states/eV per atom


Compound: LaAlSb2
Source: Alexandria
Functional: PBEsol
Structure: relaxed

```
LaAlSb2
1.0
11.351 0.000 0.000
0.000 4.424 0.000
-1.715 0.000 4.082
La Al Sb
2 2 4
direct
0.000 0.000 0.000
0.500 0.500 0.000
0.250 0.500 0.252
0.750 0.000 0.252
0.000 0.500 0.500
0.250 0.000 0.750
0.500 0.000 0.500
0.750 0.500 0.750
```

Density of states at the Fermi level: 0.51 states/eV per atom
Uncorrected formation energy: -50 kJ per mole of atoms


Compound: KBeFe2
Source: Alexandria
Functional: PBEsol
Structure: relaxed

```
KBeFe2
1.0
3.985 0.000 0.000
0.000 3.985 0.000
0.000 0.000 7.434
K Be Fe
2 2 4
direct
0.000 0.000 0.000
0.500 0.500 0.500
0.000 0.500 0.750
0.500 0.000 0.250
0.000 0.000 0.500
0.000 0.500 0.250
0.500 0.000 0.750
0.500 0.500 0.000
```

DFT formation energy: 1.39 eV/atom
Density of states at the Fermi level: 0.47 states/eV per atom


Compound: SrSi2Os
Source: Alexandria
Functional: PBEsol
Structure: relaxed

```
SrSi2Os
1.0
4.086 0.000 0.000
-2.043 3.538 0.000
0.000 0.000 16.321
Sr Si Os
3 6 3
direct
0.000 0.000 0.000
0.333 0.667 0.667
0.667 0.333 0.333
0.000 0.000 0.204
0.000 0.000 0.796
0.333 0.667 0.463
0.333 0.667 0.871
0.667 0.333 0.129
0.667 0.333 0.537
0.000 0.000 0.500
0.333 0.667 0.167
0.667 0.333 0.833
```

Density of states at the Fermi level: 0.52 states/eV per atom
Uncorrected formation energy: -42 kJ per mole of atoms


Compound: CaCrIn
Source: Alexandria
Functional: PBEsol
Structure: relaxed

```
CaCrIn
1.0
3.671 0.000 0.000
0.000 3.671 0.000
0.000 0.000 10.495
Ca Cr In
2 2 2
direct
0.000 0.000 0.000
0.500 0.500 0.500
0.000 0.000 0.306
0.500 0.500 0.806
0.000 0.000 0.690
0.500 0.500 0.190
```

DFT formation energy: 0.25 eV/atom
Density of states at the Fermi level: 0.45 states/eV per atom


Compound: LaFeTe2
Source: Alexandria
Functional: PBEsol
Structure: relaxed

```
LaFeTe2
1.0
4.345 0.000 0.000
0.000 4.345 0.000
0.000 0.000 10.659
La Fe Te
2 2 4
direct
0.000 0.000 0.000
0.500 0.500 0.500
0.000 0.500 0.750
0.500 0.000 0.250
0.000 0.000 0.500
0.000 0.500 0.250
0.500 0.000 0.750
0.500 0.500 0.000
```

Density of states at the Fermi level: 1.55 states/eV per atom
Uncorrected formation energy: -30 kJ per mole of atoms


Compound: CrSiW
Source: Alexandria
Functional: PBEsol
Structure: relaxed

```
CrSiW
1.0
2.749 0.000 0.000
-1.375 2.381 0.000
0.000 0.000 6.159
Cr Si W
1 1 1
direct
0.000 0.000 0.000
0.333 0.667 0.695
0.667 0.333 0.344
```

Density of states at the Fermi level: 1.02 states/eV per atom
Uncorrected formation energy: 20 kJ per mole of atoms


Compound: Zn3CuH
Source: Alexandria
Functional: PBEsol
Structure: relaxed

```
Zn3CuH
1.0
3.845 0.000 0.000
0.000 3.845 0.000
0.000 0.000 3.845
Zn Cu H
3 1 1
direct
0.000 0.000 0.500
0.000 0.500 0.000
0.500 0.000 0.000
0.500 0.500 0.500
0.000 0.000 0.000
```

E_tot: -11.225 eV per formula unit
Density of states at the Fermi level: 0.18 states/eV per atom


Compound: ZrFe3Sb
Source: Alexandria
Functional: PBEsol
Structure: relaxed

```
ZrFe3Sb
1.0
4.529 0.000 0.000
0.000 4.529 0.000
0.000 0.000 4.529
Zr Fe Sb
1 3 1
direct
0.000 0.000 0.000
0.000 0.000 0.500
0.000 0.500 0.000
0.500 0.000 0.000
0.500 0.500 0.500
```

Density of states at the Fermi level: 1.17 states/eV per atom
Uncorrected formation energy: 136 kJ per mole of atoms


Compound: MgInPtS2
Source: Alexandria
Functional: PBEsol
Structure: relaxed

```
MgInPtS2
1.0
4.791 0.000 0.000
0.000 4.791 0.000
0.000 0.000 4.817
Mg In Pt S
1 1 1 2
direct
0.000 0.000 0.000
0.500 0.500 0.000
0.000 0.000 0.500
0.000 0.500 0.500
0.500 0.000 0.500
```

Density of states at the Fermi level: 0.34 states/eV per atom
Uncorrected formation energy: -1 kJ per mole of atoms


Compound: LiVBO4
Source: Alexandria
Functional: PBEsol
Structure: relaxed

```
LiVBO4
1.0
9.967 0.000 0.000
0.000 5.727 0.000
0.000 0.000 4.373
Li V B O
4 4 4 16
direct
0.224 0.250 0.023
0.276 0.750 0.523
0.724 0.250 0.477
0.776 0.750 0.977
0.000 0.000 0.500
0.000 0.500 0.500
0.500 0.000 0.000
0.500 0.500 0.000
0.086 0.750 0.092
0.414 0.250 0.592
0.586 0.750 0.408
0.914 0.250 0.908
0.060 0.250 0.761
0.079 0.750 0.760
0.144 0.541 0.229
0.144 0.959 0.229
0.356 0.041 0.729
0.356 0.459 0.729
0.421 0.250 0.260
0.440 0.750 0.261
0.560 0.250 0.739
0.579 0.750 0.740
0.644 0.541 0.271
0.644 0.959 0.271
0.856 0.041 0.771
0.856 0.459 0.771
0.921 0.250 0.240
0.940 0.750 0.239
```

Density of states at the Fermi level: 0.53 states/eV per atom
Energy above the lowest structure with this stoichiometry: 0.0082 eV/atom
Uncorrected formation energy: -222 kJ per mole of atoms


Compound: Li2AlS
Source: Alexandria
Functional: PBEsol
Structure: relaxed

```
Li2AlS
1.0
6.427 0.000 0.000
0.000 6.427 0.000
0.000 0.000 6.427
Li Al S
8 4 4
direct
0.250 0.250 0.250
0.250 0.250 0.750
0.250 0.750 0.250
0.250 0.750 0.750
0.750 0.250 0.250
0.750 0.250 0.750
0.750 0.750 0.250
0.750 0.750 0.750
0.000 0.000 0.000
0.000 0.500 0.500
0.500 0.000 0.500
0.500 0.500 0.000
0.000 0.000 0.500
0.000 0.500 0.000
0.500 0.000 0.000
0.500 0.500 0.500
```

Density of states at the Fermi level: 0.31 states/eV per atom
Uncorrected formation energy: -26 kJ per mole of atoms


Compound: RbBAs3
Source: Alexandria
Functional: PBEsol
Structure: relaxed

```
RbBAs3
1.0
4.649 0.000 0.000
0.000 4.649 0.000
0.000 0.000 4.649
Rb B As
1 1 3
direct
0.000 0.000 0.000
0.500 0.500 0.500
0.000 0.500 0.500
0.500 0.000 0.500
0.500 0.500 0.000
```

DFT formation energy: 0.62 eV/atom
Density of states at the Fermi level: 0.43 states/eV per atom


Compound: ZnCdGa3
Source: Alexandria
Functional: PBEsol
Structure: relaxed

```
ZnCdGa3
1.0
4.781 0.000 0.000
0.000 4.781 0.000
0.000 0.000 4.781
Zn Cd Ga
1 1 3
direct
0.000 0.000 0.000
0.500 0.500 0.500
0.000 0.000 0.500
0.000 0.500 0.000
0.500 0.000 0.000
```

DFT formation energy: 0.32 eV/atom
Density of states at the Fermi level: 0.38 states/eV per atom